Material: B2WS
Method: DFT, PBE
State: optimized geometry

Cell: 5.1749 5.1749 5.1437 Å, 59.80 59.80 90.00°
Closest atoms and distances in Å follow each position.
Atoms (fractional coordinates):
S  0.5000  0.5000  0.0000  4 B 1.87
S  0.2500  0.7500  0.5000  4 B 1.87
B  0.5684  0.1250  0.2500  2 S 1.87
B  0.1816  0.6250  0.2500  2 S 1.87
B  0.3750  0.4316  0.7500  2 S 1.87
B  0.8750  0.8184  0.7500  2 S 1.87
W  0.0000  0.0000  0.0000  4 B 2.24
W  0.7500  0.2500  0.5000  4 B 2.24

Values from the calculation:
* electronic total energy: -6.8528 eV/atom

=====

Material: Dy2HoCd
Method: DFT, PBE
State: optimized geometry

Cell: 3.5518 3.5518 10.9829 Å, 80.69 80.69 60.00°
Closest atoms and distances in Å follow each position.
Atoms (fractional coordinates):
Cd  0.0000  0.0000  0.0000  6 Dy 3.26, 6 Cd 3.55
Ho  0.5000  0.5000  0.5000  6 Dy 3.52, 6 Ho 3.55
Dy  0.2550  0.2550  0.2351  3 Cd 3.26, 3 Ho 3.52, 6 Dy 3.55
Dy  0.7450  0.7450  0.7649  3 Cd 3.26, 3 Ho 3.52, 6 Dy 3.55

Values from the calculation:
* formation enthalpy at 0 K: -70 meV/atom
* ΔE to the lowest computed polymorph: 0.073 eV per atom

=====

Material: YTlTe
Method: DFT, PBE
State: optimized geometry

Cell: 5.1486 5.1486 4.2897 Å, 90.00 90.00 120.00°
Closest atoms and distances in Å follow each position.
Atoms (fractional coordinates):
Te  0.0000  0.0000  0.8327  3 Y 2.97
Tl  0.6667  0.3333  0.3335  6 Te 3.66-3.67, 6 Y 3.66-3.67
Y  0.3333  0.6667  0.8338  3 Te 2.97

Values from the calculation:
* ΔE to the lowest computed polymorph: 0.228 eV per atom

=====

Material: Ce3MnTl4Se8
Method: DFT, PBE
State: optimized geometry

Cell: 8.4656 9.1370 8.4657 Å, 117.60 120.00 90.00°
Closest atoms and distances in Å follow each position.
Atoms (fractional coordinates):
Ce  0.5000  0.5000  0.0000  6 Se 2.94
Ce  0.5000  0.5000  0.5000  6 Se 2.94
Ce  0.0000  0.5000  0.5000  6 Se 2.94
Mn  0.0000  0.5000  0.0000  6 Se 2.82
Tl  0.5000  0.0000  0.0000  6 Se 3.43
Tl  0.5000  0.0000  0.5000  6 Se 3.31-3.33
Tl  0.0000  0.0000  0.0000  6 Se 3.31-3.33
Tl  0.0000  0.0000  0.5000  6 Se 3.31-3.33
Se  0.2274  0.7010  0.9737  1 Mn 2.82, 2 Ce 2.94
Se  0.2273  0.7010  0.4546  1 Mn 2.82, 2 Ce 2.94
Se  0.2628  0.2884  0.5256  3 Ce 2.94
Se  0.7463  0.7010  0.9737  1 Mn 2.82, 2 Ce 2.94
Se  0.2537  0.2990  0.0263  1 Mn 2.82, 2 Ce 2.94
Se  0.7372  0.7116  0.4744  3 Ce 2.94
Se  0.7727  0.2990  0.5454  1 Mn 2.82, 2 Ce 2.94
Se  0.7726  0.2990  0.0263  1 Mn 2.82, 2 Ce 2.94

Values from the calculation:
* electronic total energy: -5.1233 eV/atom

=====

Material: U2GaSi
Method: DFT, PBE
State: optimized geometry

Cell: 2.7465 2.7465 9.4543 Å, 90.00 90.00 90.00°
Closest atoms and distances in Å follow each position.
Atoms (fractional coordinates):
Si  0.5000  0.5000  0.0000  4 Si 2.75, 8 U 2.99
U  0.0000  0.0000  0.7602  4 U 2.75, 4 Si 2.99
U  0.0000  0.0000  0.2398  4 U 2.75, 4 Si 2.99
Ga  0.5000  0.5000  0.5000  4 Ga 2.75

Values from the calculation:
* electronic total energy: -7.8918 eV/atom

=====

Material: Ce5Hf2O12
Method: DFT, PBE
State: optimized geometry

Cell: 6.1940 7.1522 7.5482 Å, 105.11 90.00 115.66°
Closest atoms and distances in Å follow each position.
Atoms (fractional coordinates):
Ce  0.3023  0.6046  0.6398  7 O 2.38-2.54
Ce  0.3024  0.6048  0.1632  7 O 2.36-2.50
Ce  0.0000  0.0000  0.5000  6 O 2.37-2.44
Ce  0.6976  0.3952  0.8368  7 O 2.36-2.50
Ce  0.6977  0.3954  0.3602  7 O 2.38-2.54
Hf  0.7555  0.0000  0.0000  6 O 2.06-2.12
Hf  0.2445  0.0000  0.0000  6 O 2.06-2.12
O  0.9976  0.9952  0.1844  2 Hf 2.06
O  0.1015  0.6651  0.9115  1 Hf 2.07
O  0.5636  0.6651  0.9115  1 Hf 2.07
O  0.0920  0.6909  0.4271  4 Ce 2.38-2.47
O  0.5989  0.6909  0.4271  4 Ce 2.38-2.47
O  0.5027  0.0053  0.8151  2 Hf 2.12
O  0.4973  0.9947  0.1849  2 Hf 2.12
O  0.9080  0.3091  0.5729  4 Ce 2.38-2.47
O  0.4011  0.3091  0.5729  4 Ce 2.38-2.47
O  0.8985  0.3349  0.0885  1 Hf 2.07
O  0.4364  0.3349  0.0885  1 Hf 2.07
O  0.0024  0.0048  0.8156  2 Hf 2.06

Values from the calculation:
* electronic total energy: -9.1975 eV/atom

=====

Material: Cd2AgPd
Method: DFT, PBE
State: optimized geometry

Cell: 3.3117 3.3117 6.7265 Å, 90.00 90.00 90.00°
Closest atoms and distances in Å follow each position.
Atoms (fractional coordinates):
Pd  0.5000  0.5000  0.0000  8 Cd 2.84
Ag  0.5000  0.5000  0.5000  8 Cd 2.93
Cd  0.0000  0.0000  0.7617  4 Pd 2.84, 4 Ag 2.93
Cd  0.0000  0.0000  0.2383  4 Pd 2.84, 4 Ag 2.93

Values from the calculation:
* formation enthalpy at 0 K: -221 meV/atom

=====

Material: LaNbAs2Se
Method: DFT, PBE
State: optimized geometry

Cell: 5.5087 5.5087 5.5679 Å, 90.00 90.00 90.00°
Closest atoms and distances in Å follow each position.
Atoms (fractional coordinates):
Nb  0.5000  0.5000  0.5000  4 Se 3.90, 8 As 3.92
As  0.0000  0.5000  0.0000  2 La 2.75
As  0.5000  0.0000  0.0000  2 La 2.75
Se  0.0000  0.0000  0.5000  2 La 2.78
La  0.0000  0.0000  0.0000  4 As 2.75, 2 Se 2.78

Values from the calculation:
* ΔE to the lowest computed polymorph: 1.546 eV per atom

=====

Material: Y2GaSn
Method: DFT, PBE
State: optimized geometry

Cell: 4.1613 6.0167 8.9268 Å, 111.95 90.00 90.00°
Closest atoms and distances in Å follow each position.
Atoms (fractional coordinates):
Y  0.7500  0.2170  0.4360  3 Ga 3.04-3.07, 3 Sn 3.16-3.29
Y  0.2500  0.7830  0.5641  3 Ga 3.04-3.07, 3 Sn 3.16-3.29
Y  0.2500  0.7730  0.0747  3 Ga 3.06-3.37, 4 Sn 3.14-3.28
Y  0.7500  0.2270  0.9253  3 Ga 3.06-3.37, 4 Sn 3.14-3.28
Ga  0.7500  0.6716  0.2930  2 Sn 2.80, 5 Y 3.04-3.07
Ga  0.2500  0.3284  0.7070  2 Sn 2.80, 5 Y 3.04-3.07
Sn  0.2500  0.3362  0.2104  2 Ga 2.80
Sn  0.7500  0.6638  0.7896  2 Ga 2.80

Values from the calculation:
* formation enthalpy at 0 K: -741 meV/atom

=====

Material: Ba2TlCo
Method: DFT, PBE
State: optimized geometry

Cell: 6.2166 6.2166 6.2166 Å, 132.05 132.05 70.15°
Closest atoms and distances in Å follow each position.
Atoms (fractional coordinates):
Ba  0.0000  0.0000  0.0000  4 Co 3.57, 4 Ba 3.58, 4 Tl 3.58
Ba  0.2500  0.7500  0.5000  4 Tl 3.57, 4 Ba 3.58, 4 Co 3.58
Co  0.5000  0.5000  0.0000  8 Ba 3.57-3.58, 4 Tl 3.58
Tl  0.7500  0.2500  0.5000  8 Ba 3.57-3.58, 4 Co 3.58

Values from the calculation:
* formation enthalpy at 0 K: 376 meV/atom

=====

Material: HfTiRh4
Method: DFT, PBE
State: optimized geometry

Cell: 4.1751 4.1777 6.0881 Å, 90.00 90.00 90.00°
Closest atoms and distances in Å follow each position.
Atoms (fractional coordinates):
Hf  0.5013  0.4973  0.9981  8 Rh 2.63
Ti  0.0013  0.9973  0.4982  8 Rh 2.54
Rh  0.5013  0.9972  0.2615  2 Ti 2.54, 2 Hf 2.63
Rh  0.5013  0.9974  0.7348  2 Ti 2.54, 2 Hf 2.63
Rh  0.0013  0.4973  0.7346  2 Ti 2.54, 2 Hf 2.63
Rh  0.0013  0.4972  0.2617  2 Ti 2.54, 2 Hf 2.63

Values from the calculation:
* formation enthalpy at 0 K: -343 meV/atom
* ΔE to the lowest computed polymorph: 0.241 eV per atom

=====

Material: TiRu3I
Method: DFT, PBE
State: optimized geometry

Cell: 4.6598 4.6598 4.6598 Å, 90.00 90.00 90.00°
Closest atoms and distances in Å follow each position.
Atoms (fractional coordinates):
I  0.5000  0.5000  0.5000  12 Ru 3.29
Ru  0.0000  0.5000  0.0000  2 Ti 2.33
Ru  0.0000  0.0000  0.5000  2 Ti 2.33
Ru  0.5000  0.0000  0.0000  2 Ti 2.33
Ti  0.0000  0.0000  0.0000  6 Ru 2.33

Values from the calculation:
* ΔE to the lowest computed polymorph: 0.000 eV per atom